Record 1
A plane-wave DFT calculation with PBE-GGA was carried out for a relaxed SiNi4Se crystal.

Space group: No. 216
E_form (uncorrected), meV per atom: 256

a b c (Å): 4.7687 4.7687 4.7687
angles (deg): 60.00 60.00 60.00
Site moments in Bohr magnetons follow the coordinates.
Positions (direct):
Ni1 0.3746 0.8763 0.3746  0.42
Ni2 0.3746 0.3746 0.3746  0.42
Ni3 0.8763 0.3746 0.3746  0.42
Ni4 0.3746 0.3746 0.8763  0.42
Si1 0.0000 0.0000 0.0000  0.00
Se1 0.7500 0.7500 0.7500  0.08

Record 2
A plane-wave DFT calculation with PBE-GGA was carried out for a relaxed SbTe2NO crystal.

Space group: No. 123
E_form (uncorrected), meV per atom: 1347

a b c (Å): 5.8895 5.8895 3.8648
angles (deg): 90.00 90.00 90.00
Site moments in Bohr magnetons follow the coordinates.
Positions (direct):
Sb1 0.0000 0.0000 0.0000  -0.01
Te1 0.5000 0.0000 0.0000  0.25
Te2 0.0000 0.5000 0.0000  0.25
O1 0.5000 0.5000 0.5000  1.28
N1 0.0000 0.0000 0.5000  0.10

Record 3
A plane-wave DFT calculation with PBE-GGA was carried out for a relaxed RbCuB3 crystal.

Space group: No. 221
ΔE_f, eV per atom: 1.7467

a b c (Å): 4.2157 4.2157 4.2157
angles (deg): 90.00 90.00 90.00
Positions (direct):
B1 0.5000 0.0000 0.0000
B2 0.0000 0.5000 0.0000
B3 0.0000 0.0000 0.5000
Rb1 0.5000 0.5000 0.5000
Cu1 0.0000 0.0000 0.0000

- What is the formula in the third record?
  RbCuB3